1.
Material: PuZrP2
Method: DFT, PBE-GGA
State: optimized geometry

Unit cell a=6.694 b=6.694 c=6.694 alpha=33.42 beta=33.42 gamma=33.42
Last column: magnetic moment on the atom in μB.
Fractional coordinates of all 4 atoms:
P: 0.254 0.254 0.254  -0.07
P: 0.746 0.746 0.746  -0.07
Zr: 0.000 0.000 0.000  0.03
Pu: 0.500 0.500 0.500  4.98

* total energy: -9.742 eV per atom

---

2.
Material: RbRe3P5
Method: DFT, PBE-GGA
State: optimized geometry

Unit cell a=5.405 b=5.405 c=7.949 alpha=90.00 beta=90.00 gamma=120.00
Fractional coordinates of all 9 atoms:
P: 0.667 0.333 0.738
P: 0.333 0.667 0.262
P: 0.667 0.333 0.262
P: 0.333 0.667 0.738
P: 0.000 0.000 0.500
Rb: 0.000 0.000 0.000
Re: 0.500 0.500 0.500
Re: 0.000 0.500 0.500
Re: 0.500 0.000 0.500

* total energy: -7.066 eV per atom

---

3.
Material: RbZrP2SeS6
Method: DFT, PBE-GGA
State: optimized geometry

Unit cell a=6.698 b=6.698 c=6.766 alpha=96.22 beta=96.22 gamma=94.66
Fractional coordinates of all 11 atoms:
S: 0.541 0.868 0.662
S: 0.132 0.459 0.338
S: 0.319 0.386 0.791
S: 0.823 0.437 0.735
S: 0.614 0.681 0.209
S: 0.563 0.177 0.265
P: 0.060 0.339 0.591
P: 0.661 0.940 0.409
Rb: 0.121 0.879 0.000
Zr: 0.508 0.492 0.500
Se: 0.010 0.990 0.500

* total energy: -5.131 eV per atom

---

Sequential V output: 20.27; 22.35; 27.15 A^3/atom